Entry i
A plane-wave DFT calculation with meta-GGA SCAN was carried out for a PBEsol-optimized structure of PSe2Cl.

## Properties
As for the space group: Cmmm.

CIF file:
```
data_PSe2Cl
_cell_length_a 5.1129
_cell_length_b 14.1145
_cell_length_c 2.5389
_cell_angle_alpha 90.00
_cell_angle_beta 90.00
_cell_angle_gamma 90.00
_space_group_name_H-M_alt 'P 1'
_space_group_IT_number 1
_space_group_name_Hall 'P 1'
loop_
_atom_site_label
_atom_site_type_symbol
_atom_site_fract_x
_atom_site_fract_y
_atom_site_fract_z
P1 P 0.0000 0.0000 0.0000
P2 P 0.5000 0.5000 0.0000
Se1 Se 0.2500 0.2500 0.5000
Se2 Se 0.2500 0.7500 0.5000
Se3 Se 0.7500 0.2500 0.5000
Se4 Se 0.7500 0.7500 0.5000
Cl1 Cl 0.0000 0.5000 0.0000
Cl2 Cl 0.5000 0.0000 0.0000
```

=====

Entry ii
A plane-wave DFT calculation with meta-GGA SCAN was carried out for a PBEsol-optimized structure of PSe2Cl.

## Properties
As for the space group: Pmmm.

CIF file:
```
data_PSe2Cl
_cell_length_a 3.6359
_cell_length_b 3.7255
_cell_length_c 6.3023
_cell_angle_alpha 90.00
_cell_angle_beta 90.00
_cell_angle_gamma 90.00
_space_group_name_H-M_alt 'P 1'
_space_group_IT_number 1
_space_group_name_Hall 'P 1'
loop_
_atom_site_label
_atom_site_type_symbol
_atom_site_fract_x
_atom_site_fract_y
_atom_site_fract_z
P1 P 0.0000 0.0000 0.0000
Se1 Se 0.0000 0.0000 0.5000
Se2 Se 0.5000 0.5000 0.5000
Cl1 Cl 0.5000 0.5000 0.0000
```

=====

Entry iii
A plane-wave DFT calculation with meta-GGA SCAN was carried out for a PBEsol-optimized structure of PSe2Cl.

## Properties
As for the space group: P4/mmm.

CIF file:
```
data_PSe2Cl
_cell_length_a 4.6542
_cell_length_b 4.6542
_cell_length_c 3.3129
_cell_angle_alpha 90.00
_cell_angle_beta 90.00
_cell_angle_gamma 90.00
_space_group_name_H-M_alt 'P 1'
_space_group_IT_number 1
_space_group_name_Hall 'P 1'
loop_
_atom_site_label
_atom_site_type_symbol
_atom_site_fract_x
_atom_site_fract_y
_atom_site_fract_z
P1 P 0.0000 0.0000 0.0000
Se1 Se 0.0000 0.5000 0.5000
Se2 Se 0.5000 0.0000 0.5000
Cl1 Cl 0.5000 0.5000 0.0000
```

=====

Which of them is the least stable? Correct choice: entry iii.

=====

Entry i
A plane-wave DFT calculation with meta-GGA SCAN was carried out for a PBEsol-optimized structure of P2SeCl.

## Properties
As for the space group: R3m.

CIF file:
```
data_P2SeCl
_cell_length_a 3.4384
_cell_length_b 3.4384
_cell_length_c 21.3363
_cell_angle_alpha 90.00
_cell_angle_beta 90.00
_cell_angle_gamma 120.00
_space_group_name_H-M_alt 'P 1'
_space_group_IT_number 1
_space_group_name_Hall 'P 1'
loop_
_atom_site_label
_atom_site_type_symbol
_atom_site_fract_x
_atom_site_fract_y
_atom_site_fract_z
P1 P 0.0000 0.0000 0.0000
P2 P 0.0000 0.0000 0.2775
P3 P 0.3333 0.6667 0.6667
P4 P 0.3333 0.6667 0.9441
P5 P 0.6667 0.3333 0.3333
P6 P 0.6667 0.3333 0.6108
Se1 Se 0.0000 0.0000 0.7409
Se2 Se 0.3333 0.6667 0.4075
Se3 Se 0.6667 0.3333 0.0742
Cl1 Cl 0.0000 0.0000 0.5273
Cl2 Cl 0.3333 0.6667 0.1939
Cl3 Cl 0.6667 0.3333 0.8606
```

=====

Entry ii
A plane-wave DFT calculation with meta-GGA SCAN was carried out for a PBEsol-optimized structure of P2SeCl.

## Properties
As for the space group: Fmmm.

CIF file:
```
data_P2SeCl
_cell_length_a 6.0979
_cell_length_b 6.7734
_cell_length_c 7.4378
_cell_angle_alpha 90.00
_cell_angle_beta 90.00
_cell_angle_gamma 90.00
_space_group_name_H-M_alt 'P 1'
_space_group_IT_number 1
_space_group_name_Hall 'P 1'
loop_
_atom_site_label
_atom_site_type_symbol
_atom_site_fract_x
_atom_site_fract_y
_atom_site_fract_z
P1 P 0.0000 0.2500 0.2500
P2 P 0.0000 0.2500 0.7500
P3 P 0.0000 0.7500 0.2500
P4 P 0.0000 0.7500 0.7500
P5 P 0.5000 0.2500 0.2500
P6 P 0.5000 0.2500 0.7500
P7 P 0.5000 0.7500 0.2500
P8 P 0.5000 0.7500 0.7500
Se1 Se 0.0000 0.0000 0.0000
Se2 Se 0.0000 0.5000 0.5000
Se3 Se 0.5000 0.0000 0.5000
Se4 Se 0.5000 0.5000 0.0000
Cl1 Cl 0.0000 0.0000 0.5000
Cl2 Cl 0.0000 0.5000 0.0000
Cl3 Cl 0.5000 0.0000 0.0000
Cl4 Cl 0.5000 0.5000 0.5000
```

=====

Entry iii
A plane-wave DFT calculation with meta-GGA SCAN was carried out for a PBEsol-optimized structure of P2SeCl.

## Properties
As for the space group: C2/m.

CIF file:
```
data_P2SeCl
_cell_length_a 9.2721
_cell_length_b 3.1806
_cell_length_c 7.0179
_cell_angle_alpha 90.00
_cell_angle_beta 122.70
_cell_angle_gamma 90.00
_space_group_name_H-M_alt 'P 1'
_space_group_IT_number 1
_space_group_name_Hall 'P 1'
loop_
_atom_site_label
_atom_site_type_symbol
_atom_site_fract_x
_atom_site_fract_y
_atom_site_fract_z
P1 P 0.2074 0.0000 0.3642
P2 P 0.2926 0.5000 0.6358
P3 P 0.7074 0.5000 0.3642
P4 P 0.7926 0.0000 0.6358
Se1 Se 0.0000 0.0000 0.5000
Se2 Se 0.5000 0.5000 0.5000
Cl1 Cl 0.0000 0.5000 0.0000
Cl2 Cl 0.5000 0.0000 0.0000
```

=====

Which of them is the least stable? Correct choice: entry ii.

=====

Entry i
A plane-wave DFT calculation with meta-GGA SCAN was carried out for a PBEsol-optimized structure of SiPCl2.

## Properties
As for the space group: F-43m.

CIF file:
```
data_SiPCl2
_cell_length_a 6.4286
_cell_length_b 6.4286
_cell_length_c 6.4286
_cell_angle_alpha 90.00
_cell_angle_beta 90.00
_cell_angle_gamma 90.00
_space_group_name_H-M_alt 'P 1'
_space_group_IT_number 1
_space_group_name_Hall 'P 1'
loop_
_atom_site_label
_atom_site_type_symbol
_atom_site_fract_x
_atom_site_fract_y
_atom_site_fract_z
Si1 Si 0.0000 0.0000 0.0000
Si2 Si 0.0000 0.5000 0.5000
Si3 Si 0.5000 0.0000 0.5000
Si4 Si 0.5000 0.5000 0.0000
P1 P 0.2500 0.2500 0.7500
P2 P 0.2500 0.7500 0.2500
P3 P 0.7500 0.2500 0.2500
P4 P 0.7500 0.7500 0.7500
Cl1 Cl 0.0000 0.0000 0.5000
Cl2 Cl 0.0000 0.5000 0.0000
Cl3 Cl 0.2500 0.2500 0.2500
Cl4 Cl 0.2500 0.7500 0.7500
Cl5 Cl 0.5000 0.0000 0.0000
Cl6 Cl 0.5000 0.5000 0.5000
Cl7 Cl 0.7500 0.2500 0.7500
Cl8 Cl 0.7500 0.7500 0.2500
```

=====

Entry ii
A plane-wave DFT calculation with meta-GGA SCAN was carried out for a PBEsol-optimized structure of SiPCl2.

## Properties
As for the space group: I-42d.

CIF file:
```
data_SiPCl2
_cell_length_a 9.5495
_cell_length_b 9.5495
_cell_length_c 4.5027
_cell_angle_alpha 90.00
_cell_angle_beta 90.00
_cell_angle_gamma 90.00
_space_group_name_H-M_alt 'P 1'
_space_group_IT_number 1
_space_group_name_Hall 'P 1'
loop_
_atom_site_label
_atom_site_type_symbol
_atom_site_fract_x
_atom_site_fract_y
_atom_site_fract_z
Si1 Si 0.0000 0.0000 0.0000
Si2 Si 0.0000 0.5000 0.2500
Si3 Si 0.5000 0.0000 0.7500
Si4 Si 0.5000 0.5000 0.5000
P1 P 0.0000 0.0000 0.5000
P2 P 0.0000 0.5000 0.7500
P3 P 0.5000 0.0000 0.2500
P4 P 0.5000 0.5000 0.0000
Cl1 Cl 0.0106 0.2500 0.1250
Cl2 Cl 0.2500 0.5106 0.3750
Cl3 Cl 0.2500 0.9894 0.8750
Cl4 Cl 0.4894 0.2500 0.6250
Cl5 Cl 0.5106 0.7500 0.6250
Cl6 Cl 0.7500 0.0106 0.8750
Cl7 Cl 0.7500 0.4894 0.3750
Cl8 Cl 0.9894 0.7500 0.1250
```

=====

Entry iii
A plane-wave DFT calculation with meta-GGA SCAN was carried out for a PBEsol-optimized structure of SiPCl2.

## Properties
As for the space group: Pmmm.

CIF file:
```
data_SiPCl2
_cell_length_a 2.9736
_cell_length_b 3.9849
_cell_length_c 5.8665
_cell_angle_alpha 90.00
_cell_angle_beta 90.00
_cell_angle_gamma 90.00
_space_group_name_H-M_alt 'P 1'
_space_group_IT_number 1
_space_group_name_Hall 'P 1'
loop_
_atom_site_label
_atom_site_type_symbol
_atom_site_fract_x
_atom_site_fract_y
_atom_site_fract_z
Si1 Si 0.0000 0.0000 0.0000
P1 P 0.0000 0.0000 0.5000
Cl1 Cl 0.5000 0.5000 0.2477
Cl2 Cl 0.5000 0.5000 0.7523
```

=====

Which of them is the least stable? Correct choice: entry iii.

=====

Entry i
A plane-wave DFT calculation with meta-GGA SCAN was carried out for a PBEsol-optimized structure of TiSiPCl2.

## Properties
As for the space group: P4/mmm.

CIF file:
```
data_TiSiPCl2
_cell_length_a 4.5382
_cell_length_b 4.5382
_cell_length_c 5.0082
_cell_angle_alpha 90.00
_cell_angle_beta 90.00
_cell_angle_gamma 90.00
_space_group_name_H-M_alt 'P 1'
_space_group_IT_number 1
_space_group_name_Hall 'P 1'
loop_
_atom_site_label
_atom_site_type_symbol
_atom_site_fract_x
_atom_site_fract_y
_atom_site_fract_z
Ti1 Ti 0.0000 0.0000 0.0000
Si1 Si 0.5000 0.5000 0.5000
P1 P 0.0000 0.0000 0.5000
Cl1 Cl 0.0000 0.5000 0.0000
Cl2 Cl 0.5000 0.0000 0.0000
```

=====

Entry ii
A plane-wave DFT calculation with meta-GGA SCAN was carried out for a PBEsol-optimized structure of TiSiPCl2.

## Properties
As for the space group: P4/mmm.

CIF file:
```
data_TiSiPCl2
_cell_length_a 4.5204
_cell_length_b 4.5204
_cell_length_c 4.7397
_cell_angle_alpha 90.00
_cell_angle_beta 90.00
_cell_angle_gamma 90.00
_space_group_name_H-M_alt 'P 1'
_space_group_IT_number 1
_space_group_name_Hall 'P 1'
loop_
_atom_site_label
_atom_site_type_symbol
_atom_site_fract_x
_atom_site_fract_y
_atom_site_fract_z
Ti1 Ti 0.0000 0.0000 0.0000
Si1 Si 0.5000 0.5000 0.5000
P1 P 0.5000 0.5000 0.0000
Cl1 Cl 0.0000 0.5000 0.5000
Cl2 Cl 0.5000 0.0000 0.5000
```

=====

Which of them is the least stable? Correct choice: entry ii.